Nd4AlZnAg2 (PBE-GGA, optimized geometry); formation energy = -0.277 eV per atom; final energy = -4.00 eV/atom; size of the total moment = 0.31 μB per cell; volume = 26.193 A^3/atom
1.0
5.289 0.000 0.000
2.644 4.580 0.000
2.644 1.527 8.650
Ag Nd Zn Al
2 4 1 1
Direct
0.253 0.253 0.241
0.747 0.747 0.759
0.623 0.623 0.131
0.127 0.127 0.620
0.873 0.873 0.380
0.377 0.377 0.869
0.500 0.500 0.500
0.000 0.000 0.000